(1)
AlFeTeAu: optimized geometry, PBE.

Cell lengths 4.6928, 4.6928, 4.6928 Å; angles 60.00, 60.00, 60.00 degrees
Fractional positions:
Al 0.0000 0.0000 0.0000
Fe 0.5000 0.5000 0.5000
Te 0.2500 0.2500 0.2500
Au 0.7500 0.7500 0.7500

Density = 9.257 g cm⁻³
Energy above the most stable polymorph in this dataset = 0 meV/atom


(2)
AlFeWAu: optimized geometry, PBE.

Cell lengths 4.3213, 4.3213, 4.3213 Å; angles 60.00, 60.00, 60.00 degrees
Fractional positions:
Al 0.0000 0.0000 0.0000
Fe 0.5000 0.5000 0.5000
W 0.7500 0.7500 0.7500
Au 0.2500 0.2500 0.2500

Density = 13.492 g cm⁻³
Energy above the most stable polymorph in this dataset = 0 meV/atom


(3)
AlFeWAu: optimized geometry, PBE.

Cell lengths 4.3998, 4.3998, 4.3998 Å; angles 60.00, 60.00, 60.00 degrees
Fractional positions:
Al 0.0000 0.0000 0.0000
Fe 0.7500 0.7500 0.7500
W 0.2500 0.2500 0.2500
Au 0.5000 0.5000 0.5000

Density = 12.784 g cm⁻³
Energy above the most stable polymorph in this dataset = 201 meV/atom


(4)
YAlFeAu: optimized geometry, PBE.

Cell lengths 4.6929, 4.6929, 4.6929 Å; angles 60.00, 60.00, 60.00 degrees
Fractional positions:
Y 0.0000 0.0000 0.0000
Al 0.5000 0.5000 0.5000
Fe 0.7500 0.7500 0.7500
Au 0.2500 0.2500 0.2500

Density = 8.378 g cm⁻³
Energy above the most stable polymorph in this dataset = 0 meV/atom


(5)
YAlFeAu: optimized geometry, PBE.

Cell lengths 4.7435, 4.7435, 4.7435 Å; angles 60.00, 60.00, 60.00 degrees
Fractional positions:
Y 0.0000 0.0000 0.0000
Al 0.2500 0.2500 0.2500
Fe 0.5000 0.5000 0.5000
Au 0.7500 0.7500 0.7500

Density = 8.112 g cm⁻³
Energy above the most stable polymorph in this dataset = 98 meV/atom


(6)
AlZnFeAu: optimized geometry, PBE.

Cell lengths 4.3751, 4.3751, 4.3751 Å; angles 60.00, 60.00, 60.00 degrees
Fractional positions:
Al 0.0000 0.0000 0.0000
Zn 0.7500 0.7500 0.7500
Fe 0.2500 0.2500 0.2500
Au 0.5000 0.5000 0.5000

Density = 9.680 g cm⁻³
Energy above the most stable polymorph in this dataset = 121 meV/atom


(7)
AlZnFeAu: optimized geometry, PBE.

Cell lengths 4.3315, 4.3315, 4.3315 Å; angles 60.00, 60.00, 60.00 degrees
Fractional positions:
Al 0.0000 0.0000 0.0000
Zn 0.5000 0.5000 0.5000
Fe 0.2500 0.2500 0.2500
Au 0.7500 0.7500 0.7500

Density = 9.975 g cm⁻³
Energy above the most stable polymorph in this dataset = 0 meV/atom


(8)
ZrAlFeAu: optimized geometry, PBE.

Cell lengths 4.5467, 4.5467, 4.5467 Å; angles 60.00, 60.00, 60.00 degrees
Fractional positions:
Zr 0.0000 0.0000 0.0000
Al 0.5000 0.5000 0.5000
Fe 0.7500 0.7500 0.7500
Au 0.2500 0.2500 0.2500

Density = 9.270 g cm⁻³
Energy above the most stable polymorph in this dataset = 0 meV/atom


(9)
ZrAlFeAu: optimized geometry, PBE.

Cell lengths 4.5856, 4.5856, 4.5856 Å; angles 60.00, 60.00, 60.00 degrees
Fractional positions:
Zr 0.0000 0.0000 0.0000
Al 0.2500 0.2500 0.2500
Fe 0.5000 0.5000 0.5000
Au 0.7500 0.7500 0.7500

Density = 9.036 g cm⁻³
Energy above the most stable polymorph in this dataset = 140 meV/atom


(10)
Al2GaAu: optimized geometry, PBE.

Cell lengths 4.6458, 4.6458, 4.6458 Å; angles 60.00, 60.00, 60.00 degrees
Fractional positions:
Al 0.0000 0.0000 0.0000
Al 0.2500 0.2500 0.2500
Ga 0.5000 0.5000 0.5000
Au 0.7500 0.7500 0.7500

Density = 7.510 g cm⁻³
Total DFT energy (no corrections) = -13.74 eV/cell


(11)
Hf2AlGaAu2: optimized geometry, PBE.

Cell lengths 10.8653, 4.4346, 10.8676 Å; angles 90.00, 109.48, 90.00 degrees
Fractional positions:
Hf 0.0000 0.0000 0.0000
Hf 0.1225 0.5000 0.3744
Hf 0.2492 0.0000 0.7500
Hf 0.3750 0.5000 0.1236
Hf 0.4975 0.0000 0.5016
Hf 0.6229 0.5000 0.8750
Hf 0.7484 0.0000 0.2471
Hf 0.8750 0.5000 0.6258
Al 0.2497 0.0000 0.2499
Al 0.6237 0.5000 0.3752
Al 0.7489 0.0000 0.7492
Al 0.9976 0.0000 0.4991
Ga 0.1237 0.5000 0.8752
Ga 0.3737 0.5000 0.6240
Ga 0.4993 0.0000 0.0007
Ga 0.8744 0.5000 0.1248
Au 0.1271 0.5000 0.1272
Au 0.2453 0.0000 0.4975
Au 0.3733 0.5000 0.8739
Au 0.4993 0.0000 0.2532
Au 0.6263 0.5000 0.6252
Au 0.7494 0.0000 0.9961
Au 0.8724 0.5000 0.3763
Au 0.9976 0.0000 0.7482

Density = 11.404 g cm⁻³
Total DFT energy (no corrections) = -144.88 eV/cell


(12)
KAlGaAu: optimized geometry, PBE.

Cell lengths 5.0539, 5.0539, 5.0539 Å; angles 60.00, 60.00, 60.00 degrees
Fractional positions:
K 0.0000 0.0000 0.0000
Al 0.2500 0.2500 0.2500
Ga 0.5000 0.5000 0.5000
Au 0.7500 0.7500 0.7500

Density = 6.054 g cm⁻³
Energy above the most stable polymorph in this dataset = 87 meV/atom